# Al2Hg2Se, optimized geometry, DFT GGA-PBE
# * calculated volume: 22.66 Å³/atom
# * E_form (uncorrected): 0.0285 eV per atom
# * Fermi-level density of states: 0.34 states/eV per atom
# * symmetry: No. 127
data_Al2Hg2Se
_chemical_formula_sum 'Al4 Hg4 Se2'
_space_group_name_H-M_alt 'P 1'
_space_group_IT_number 1
_space_group_name_Hall 'P 1'
_cell_length_a 6.9823
_cell_length_b 6.9823
_cell_length_c 4.6479
_cell_angle_alpha 90.00
_cell_angle_beta 90.00
_cell_angle_gamma 90.00
loop_
_atom_site_label
_atom_site_fract_x
_atom_site_fract_y
_atom_site_fract_z
Hg1 0.1756 0.6756 0.5000
Hg2 0.6756 0.8244 0.5000
Hg3 0.8244 0.3244 0.5000
Hg4 0.3244 0.1756 0.5000
Se1 0.0000 0.0000 0.0000
Se2 0.5000 0.5000 0.0000
Al1 0.3620 0.8620 0.0000
Al2 0.8620 0.6380 0.0000
Al3 0.6380 0.1380 0.0000
Al4 0.1380 0.3620 0.0000